# 1
An optimized crystal structure of Mg4Zn2Se3, computed with GGA-PBE.

Unit cell a=8.1897 b=8.1897 c=7.8679 alpha=104.58 beta=104.58 gamma=26.64
Element x y z (fractional)
Mg  0.0762  0.0762  0.2235
Mg  0.2318  0.2318  0.6746
Mg  0.7682  0.7682  0.3254
Mg  0.9238  0.9238  0.7765
Zn  0.2072  0.2072  0.0390
Zn  0.7928  0.7928  0.9610
Se  0.3668  0.3668  0.5276
Se  0.5000  0.5000  0.0000
Se  0.6332  0.6332  0.4724

Computed properties:
space group: C2/m, No. 12
E: -2.72 eV/atom
E_form (uncorrected): -571 meV/atom

# 2
An optimized crystal structure of MgZnSe, computed with GGA-PBE.

Unit cell a=5.9478 b=5.9478 c=6.0791 alpha=90.00 beta=90.00 gamma=145.36
Element x y z (fractional)
Mg  0.0000  0.0000  0.0000
Mg  0.0000  0.0000  0.5000
Zn  0.3251  0.6749  0.7500
Zn  0.6749  0.3251  0.2500
Se  0.3605  0.6395  0.2500
Se  0.6395  0.3605  0.7500

Computed properties:
space group: Cmcm, No. 63
E: -2.47 eV/atom
E_form (uncorrected): -347 meV/atom

# 3
An optimized crystal structure of MgZnSe, computed with GGA-PBE.

Unit cell a=3.9917 b=16.3449 c=5.4739 alpha=90.00 beta=90.00 gamma=90.00
Element x y z (fractional)
Mg  0.2500  0.0718  0.0079
Mg  0.2500  0.4282  0.0079
Mg  0.7500  0.5718  0.9921
Mg  0.7500  0.9282  0.9921
Zn  0.2500  0.5602  0.3351
Zn  0.2500  0.9398  0.3351
Zn  0.7500  0.0602  0.6649
Zn  0.7500  0.4398  0.6649
Se  0.2500  0.1196  0.4571
Se  0.2500  0.3804  0.4571
Se  0.7500  0.6196  0.5429
Se  0.7500  0.8804  0.5429

Computed properties:
space group: Pmmn, No. 59
E: -2.45 eV/atom
E_form (uncorrected): -330 meV/atom

# 4
An optimized crystal structure of Mg2Zn2Se, computed with GGA-PBE.

Unit cell a=5.8376 b=3.7162 c=9.7226 alpha=90.00 beta=99.87 gamma=90.00
Element x y z (fractional)
Mg  0.1685  0.2500  0.1063
Mg  0.2701  0.7500  0.4659
Mg  0.7299  0.2500  0.5341
Mg  0.8315  0.7500  0.8937
Zn  0.3521  0.7500  0.9400
Zn  0.4210  0.2500  0.7361
Zn  0.5790  0.7500  0.2639
Zn  0.6479  0.2500  0.0600
Se  0.0076  0.7500  0.6691
Se  0.9924  0.2500  0.3309

Computed properties:
space group: P2_1/m, No. 11
E: -2.12 eV/atom
E_form (uncorrected): -278 meV/atom

# 5
An optimized crystal structure of MgZn2Se, computed with GGA-PBE.

Unit cell a=3.7213 b=3.6054 c=6.2220 alpha=90.00 beta=107.35 gamma=90.00
Element x y z (fractional)
Mg  0.0000  0.0000  0.0000
Zn  0.2298  0.0000  0.4654
Zn  0.6749  0.5000  0.3543
Se  0.4356  0.5000  0.8711

Computed properties:
space group: Pm, No. 6
E: -2.22 eV/atom
E_form (uncorrected): -309 meV/atom

# 6
An optimized crystal structure of Mg2ZnSe, computed with GGA-PBE.

Unit cell a=4.8129 b=4.8129 c=3.5019 alpha=90.00 beta=90.00 gamma=101.52
Element x y z (fractional)
Mg  0.0000  0.5000  0.0000
Mg  0.5000  0.0000  0.0000
Zn  0.0000  0.0000  0.5000
Se  0.5000  0.5000  0.5000

Computed properties:
space group: Cmmm, No. 65
E: -2.28 eV/atom
E_form (uncorrected): -293 meV/atom

# 7
An optimized crystal structure of Mg2Zn3Se, computed with GGA-PBE.

Unit cell a=6.1461 b=6.1461 c=6.1461 alpha=48.08 beta=48.08 gamma=48.08
Element x y z (fractional)
Mg  0.0970  0.0970  0.0970
Mg  0.9030  0.9030  0.9030
Zn  0.0000  0.5000  0.5000
Zn  0.5000  0.0000  0.5000
Zn  0.5000  0.5000  0.0000
Se  0.5000  0.5000  0.5000

Computed properties:
space group: R-3m, No. 166
E: -1.90 eV/atom
E_form (uncorrected): -151 meV/atom

# 8
An optimized crystal structure of Mg2Zn2Se, computed with GGA-PBE.

Unit cell a=7.3929 b=7.3929 c=7.3929 alpha=133.45 beta=79.57 gamma=119.57
Element x y z (fractional)
Mg  0.0784  0.2159  0.2943
Mg  0.4216  0.7159  0.1375
Mg  0.5784  0.2841  0.8625
Mg  0.9216  0.7841  0.7057
Zn  0.1836  0.7771  0.9607
Zn  0.3164  0.2771  0.5935
Zn  0.6836  0.7229  0.4065
Zn  0.8164  0.2229  0.0393
Se  0.2500  0.7500  0.5000
Se  0.7500  0.2500  0.5000

Computed properties:
space group: Ibam, No. 72
E: -1.94 eV/atom
E_form (uncorrected): -99 meV/atom